VASP calculation (meta-GGA SCAN) on MnCdOs2 at its PBEsol-relaxed geometry.

It has space group P4mm (No. 99), with a = 2.758 Å, b = 2.758 Å, c = 7.885 Å, α = 90.00°, β = 90.00° and γ = 90.00°. The inequivalent atoms are Mn at (0.000, 0.000, 0.000), Cd at (0.500, 0.500, 0.731), Os at (0.000, 0.000, 0.453) and Os at (0.500, 0.500, 0.235).

Its energy of formation from the pure elements is 0.10 eV per atom.

VASP calculation (meta-GGA SCAN) on KTlSb2 at its PBEsol-relaxed geometry.

It has space group Pm (No. 6), with a = 3.418 Å, b = 5.480 Å, c = 6.624 Å, α = 90.00°, β = 91.17° and γ = 90.00°. The inequivalent atoms are K at (0.000, 0.000, 0.000), Tl at (0.036, 0.500, 0.673), Sb at (0.513, 0.500, 0.269) and Sb at (0.518, 0.000, 0.482).

The value obtained for the energy above the lowest structure with this stoichiometry is 0.0155 eV per atom.